(1)
This record from the Alexandria database describes an optimized crystal structure of Li6Cd12In. The functional is GGA-PBE.

Cell lengths 10.3527, 10.3527, 12.4930 Å; angles 90.00, 90.00, 120.00 degrees
Space group R-3 (No. 148, hexagonal axes)
Inequivalent atoms, fractional coordinates:
Li 0.0259 0.5904 0.2026 [18 per cell]
Cd 0.0319 0.8402 0.3111 [18 per cell]
Cd 0.0590 0.2170 0.9137 [18 per cell]
In 0.0000 0.0000 0.5000 [3 per cell]

Summary:
- Formation energy from the elements: -177 meV per atom

=====

(2)
This record from the Alexandria database describes an optimized crystal structure of NiBW. The functional is GGA-PBE.

Cell lengths 5.7945, 3.2745, 9.9553 Å; angles 90.00, 90.25, 90.00 degrees
Space group P2_1/m (No. 11)
Inequivalent atoms, fractional coordinates:
Ni 0.0062 0.2500 0.0870 [2 per cell]
Ni 0.1492 0.2500 0.4611 [2 per cell]
Ni 0.3678 0.7500 0.8003 [2 per cell]
B 0.2352 0.2500 0.9160 [2 per cell]
B 0.2349 0.7500 0.5900 [2 per cell]
B 0.2663 0.2500 0.2481 [2 per cell]
W 0.0316 0.2500 0.7118 [2 per cell]
W 0.3526 0.7500 0.0790 [2 per cell]
W 0.4706 0.7500 0.3839 [2 per cell]

Summary:
- Formation energy from the elements: -315 meV per atom

=====

(3)
This record from the Alexandria database describes an optimized crystal structure of BaZn2Br. The functional is GGA-PBE.

Cell lengths 4.5653, 4.5653, 5.7963 Å; angles 90.00, 90.00, 90.00 degrees
Space group P4/mmm (No. 123)
Inequivalent atoms, fractional coordinates:
Ba 0.0000 0.0000 0.0000 [1 per cell]
Zn 0.0000 0.5000 0.5000 [2 per cell]
Br 0.5000 0.5000 0.0000 [1 per cell]

Summary:
- Energy above the lowest structure with this stoichiometry: 28.9 kJ/mol of formula units
- Formation energy (no corrections): -0.552 eV/atom

=====

(4)
This record from the Alexandria database describes an optimized crystal structure of LiTcBr. The functional is GGA-PBE.

Cell lengths 3.0825, 5.3923, 12.9606 Å; angles 90.00, 90.00, 90.00 degrees
Space group Fmm2 (No. 42)
Inequivalent atoms, fractional coordinates:
Li 0.0000 0.0000 0.0000 [4 per cell]
Tc 0.0000 0.0000 0.6759 [4 per cell]
Br 0.0000 0.0000 0.3359 [4 per cell]

Summary:
- Energy above the lowest structure with this stoichiometry: 36.2 kJ/mol of formula units
- Formation energy (no corrections): 0.508 eV/atom

=====

(5)
This record from the Alexandria database describes an optimized crystal structure of PbC. The functional is GGA-PBE.

Cell lengths 9.7654, 9.7654, 3.8403 Å; angles 90.00, 90.00, 90.00 degrees
Space group I4/m (No. 87)
Inequivalent atoms, fractional coordinates:
Pb 0.1113 0.2861 0.0000 [8 per cell]
C 0.1215 0.7127 0.0000 [8 per cell]

Summary:
- Energy above the lowest structure with this stoichiometry: 153.4 kJ/mol of formula units
- Formation energy from the elements: 1647 meV per atom

=====

Which formula does entry 5 have?
PbC